<one>
This record from the Alexandria database describes LaZnNi after structural relaxation. The functional is PBEsol.

Structure (POSCAR):
```
LaZnNi
1.0
-3.074 2.114 1.105
-3.935 -3.074 -5.066
0.340 -2.897 6.487
Zn La Ni
3 3 3
Direct
0.500 0.000 0.228
0.500 0.772 0.772
0.500 0.228 0.000
0.000 0.417 0.417
0.000 0.000 0.583
0.000 0.583 0.000
0.500 0.333 0.667
0.500 0.667 0.333
0.000 0.000 0.000
```

Values from the calculation:
As for the crystal system: hexagonal. For the magnetization, the calculation gives 0.000 μB per atom. The space-group type is P-62m, No. 189.



<two>
This record from the Alexandria database describes LaZnNi after structural relaxation. The functional is PBEsol.

Structure (POSCAR):
```
LaZnNi
1.0
-2.785 -1.060 -2.435
2.709 0.336 -3.244
-0.396 -3.686 2.058
La Ni Zn
1 1 1
Direct
0.000 0.000 0.000
0.500 0.333 0.667
0.500 0.667 0.333
```

Values from the calculation:
As for the crystal system: hexagonal. For the magnetization, the calculation gives 0.000 μB per atom. The space-group type is P-6m2, No. 187.



<three>
This record from the Alexandria database describes LaZnNi after structural relaxation. The functional is PBEsol.

Structure (POSCAR):
```
LaZnNi
1.0
-4.512 1.224 -0.473
-1.971 0.106 -4.264
-3.198 -3.230 -1.190
Ni La Zn
1 1 1
Direct
0.000 0.000 0.000
0.250 0.250 0.250
0.500 0.500 0.500
```

Values from the calculation:
As for the crystal system: cubic. For the magnetization, the calculation gives 0.000 μB per atom. The space-group type is F-43m, No. 216.



Compare the structures above. Which one is the least stable? <three> is.